Density functional theory data (PBE-GGA) for a relaxed Y6As3PSe2 crystal.

Computed properties:
Fermi-level density of states	0.289	states/eV/atom
E_form (uncorrected)	-1.701	eV/atom
volume	24.32	A^3/atom

a = 4.0956 Å, b = 8.1961 Å, c = 9.1633 Å
α = 102.87°, β = 102.91°, γ = 90.00°
Fractional positions:
Y1 0.9976 0.2414 0.9953
Y2 0.3374 0.4098 0.6748
Y3 0.3371 0.9254 0.6742
Y4 0.0024 0.7586 0.0047
Y5 0.6626 0.5902 0.3252
Y6 0.6629 0.0746 0.3258
As1 0.1688 0.8341 0.3376
As2 0.5000 0.5000 0.0000
As3 0.8312 0.1659 0.6624
P1 0.5000 0.0000 0.0000
Se1 0.1675 0.3356 0.3349
Se2 0.8325 0.6644 0.6651